Record 1
Entry from Alexandria via LeMat-Bulk: a relaxed Cd2Fe2Br crystal (GGA-PBE).

Results
final energy = -19.2 eV/f.u.
energy relative to the elements, uncorrected = 1.18 eV/f.u.
space-group type = No. 139
N(E_F) = 0.7043 states/eV/atom
calculated volume = 20.43 Å³/atom

a = 8.9553 Å, b = 8.9553 Å, c = 8.9553 Å
α = 157.84°, β = 157.84°, γ = 31.55°
With the nearest neighbours (Å) after each atom.
Element x y z (fractional)
Fe1 0.2500 0.7500 0.5000  4 Fe 2.43
Fe2 0.7500 0.2500 0.5000  4 Fe 2.43
Br1 0.0000 0.0000 0.0000  8 Cd 3.22, 4 Br 3.44
Cd1 0.6224 0.6224 0.0000  4 Fe 2.79
Cd2 0.3776 0.3776 0.0000  4 Fe 2.79

***

Record 2
Entry from Alexandria via LeMat-Bulk: a relaxed CdFe2Br crystal (GGA-PBE).

Results
energy relative to the lowest polymorph listed for this composition = 604 meV/atom
final energy = -16.1 eV/f.u.
energy relative to the elements, uncorrected = 3.39 eV/f.u.
space-group type = No. 216
N(E_F) = 0.5969 states/eV/atom
calculated volume = 17.43 Å³/atom

a = 4.6196 Å, b = 4.6196 Å, c = 4.6196 Å
α = 60.00°, β = 60.00°, γ = 60.00°
With the nearest neighbours (Å) after each atom.
Element x y z (fractional)
Cd1 0.7500 0.7500 0.7500  4 Br 2.83, 4 Fe 2.83
Fe1 0.2500 0.2500 0.2500  4 Fe 2.83, 4 Br 2.83
Fe2 0.0000 0.0000 0.0000  4 Fe 2.83, 4 Cd 2.83
Br1 0.5000 0.5000 0.5000  4 Cd 2.83, 4 Fe 2.83

***

Record 3
Entry from Alexandria via LeMat-Bulk: a relaxed Cd2FeBr crystal (GGA-PBE).

Results
energy relative to the lowest polymorph listed for this composition = 98 meV/atom
final energy = -11.1 eV/f.u.
energy relative to the elements, uncorrected = 0.91 eV/f.u.
space-group type = No. 65
N(E_F) = 0.7012 states/eV/atom
calculated volume = 20.94 Å³/atom

a = 3.2330 Å, b = 3.2330 Å, c = 8.0737 Å
α = 90.00°, β = 90.00°, γ = 83.00°
With the nearest neighbours (Å) after each atom.
Element x y z (fractional)
Br1 0.5000 0.5000 0.7500  8 Cd 3.12-3.32, 4 Br 3.23
Fe1 0.5000 0.5000 0.2500  8 Cd 2.77-2.99
Cd1 0.0000 0.0000 0.0317  4 Fe 2.77-2.99
Cd2 0.0000 0.0000 0.4683  4 Fe 2.77-2.99

***

Record 4
Entry from Alexandria via LeMat-Bulk: a relaxed CdFe2Br crystal (GGA-PBE).

Results
energy relative to the lowest polymorph listed for this composition = 454 meV/atom
final energy = -16.7 eV/f.u.
energy relative to the elements, uncorrected = 2.80 eV/f.u.
space-group type = No. 47
N(E_F) = 1.0396 states/eV/atom
calculated volume = 18.06 Å³/atom

a = 3.1569 Å, b = 5.0921 Å, c = 4.4948 Å
α = 90.00°, β = 90.00°, γ = 90.00°
With the nearest neighbours (Å) after each atom.
Element x y z (fractional)
Fe1 0.0000 0.0000 0.0000  4 Br 2.75, 4 Fe 3.00
Fe2 0.5000 0.5000 0.0000  4 Cd 2.75, 4 Fe 3.00
Br1 0.5000 0.0000 0.5000  4 Fe 2.75, 4 Cd 3.00
Cd1 0.0000 0.5000 0.5000  4 Fe 2.75, 4 Br 3.00

***

Record 5
Entry from Alexandria via LeMat-Bulk: a relaxed Cd2FeBr crystal (GGA-PBE).

Results
energy relative to the lowest polymorph listed for this composition = 98 meV/atom
final energy = -11.1 eV/f.u.
energy relative to the elements, uncorrected = 0.91 eV/f.u.
space-group type = No. 123
N(E_F) = 0.7109 states/eV/atom
calculated volume = 20.98 Å³/atom

a = 3.2462 Å, b = 3.2462 Å, c = 7.9627 Å
α = 90.00°, β = 90.00°, γ = 90.00°
With the nearest neighbours (Å) after each atom.
Element x y z (fractional)
Cd1 0.0000 0.0000 0.4656  4 Fe 2.87
Cd2 0.0000 0.0000 0.0344  4 Fe 2.87
Fe1 0.5000 0.5000 0.2500  8 Cd 2.87
Br1 0.5000 0.5000 0.7500  8 Cd 3.22, 4 Br 3.25

***

Record 6
Entry from Alexandria via LeMat-Bulk: a relaxed CdFe2Br crystal (GGA-PBE).

Results
energy relative to the lowest polymorph listed for this composition = 162 meV/atom
final energy = -17.9 eV/f.u.
energy relative to the elements, uncorrected = 1.63 eV/f.u.
space-group type = No. 8
N(E_F) = 0.5995 states/eV/atom
calculated volume = 20.28 Å³/atom

a = 4.1427 Å, b = 4.1427 Å, c = 7.0337 Å
α = 72.85°, β = 72.85°, γ = 45.17°
With the nearest neighbours (Å) after each atom.
Element x y z (fractional)
Br1 0.4736 0.4736 0.4094  5 Fe 2.59-2.87
Fe1 0.2535 0.2535 0.1960  3 Fe 2.41-2.42, 1 Br 2.59
Fe2 0.9987 0.9987 0.0622  3 Fe 2.41-2.42
Cd1 0.7742 0.7742 0.8324  5 Fe 2.71-2.97

***

Record 7
Entry from Alexandria via LeMat-Bulk: a relaxed CdFe2Br crystal (GGA-PBE).

Results
energy relative to the lowest polymorph listed for this composition = 557 meV/atom
final energy = -16.3 eV/f.u.
energy relative to the elements, uncorrected = 3.21 eV/f.u.
space-group type = No. 225
N(E_F) = 0.7399 states/eV/atom
calculated volume = 16.81 Å³/atom

a = 4.5648 Å, b = 4.5648 Å, c = 4.5648 Å
α = 60.00°, β = 60.00°, γ = 60.00°
With the nearest neighbours (Å) after each atom.
Element x y z (fractional)
Fe1 0.2500 0.2500 0.2500  4 Cd 2.80, 4 Br 2.80
Fe2 0.7500 0.7500 0.7500  4 Cd 2.80, 4 Br 2.80
Br1 0.0000 0.0000 0.0000  8 Fe 2.80
Cd1 0.5000 0.5000 0.5000  8 Fe 2.80

***

Record 8
Entry from Alexandria via LeMat-Bulk: a relaxed CdFe3Br crystal (GGA-PBE).

Results
energy relative to the lowest polymorph listed for this composition = 0 meV/atom
final energy = -22.9 eV/f.u.
energy relative to the elements, uncorrected = 5.11 eV/f.u.
space-group type = No. 221
N(E_F) = 0.8150 states/eV/atom
calculated volume = 17.02 Å³/atom

a = 4.3982 Å, b = 4.3982 Å, c = 4.3982 Å
α = 90.00°, β = 90.00°, γ = 90.00°
With the nearest neighbours (Å) after each atom.
Element x y z (fractional)
Fe1 0.0000 0.0000 0.5000  2 Br 2.20
Fe2 0.5000 0.0000 0.0000  2 Br 2.20
Fe3 0.0000 0.5000 0.0000  2 Br 2.20
Br1 0.0000 0.0000 0.0000  6 Fe 2.20
Cd1 0.5000 0.5000 0.5000  12 Fe 3.11

***

Record 9
Entry from Alexandria via LeMat-Bulk: a relaxed Cd2FeBr crystal (GGA-PBE).

Results
energy relative to the lowest polymorph listed for this composition = 236 meV/atom
final energy = -10.5 eV/f.u.
energy relative to the elements, uncorrected = 1.46 eV/f.u.
space-group type = No. 10
N(E_F) = 0.7391 states/eV/atom
calculated volume = 22.97 Å³/atom

a = 5.8052 Å, b = 3.2803 Å, c = 5.7442 Å
α = 57.15°, β = 90.00°, γ = 90.00°
With the nearest neighbours (Å) after each atom.
Element x y z (fractional)
Br1 0.5000 0.7500 0.7500  2 Fe 2.41
Cd1 0.0000 0.2365 0.0043  4 Cd 2.87-3.03
Cd2 0.0000 0.2635 0.4957  4 Cd 2.87-3.03
Fe1 0.5000 0.2500 0.2500  2 Br 2.41

***

Record 10
Entry from Alexandria via LeMat-Bulk: a relaxed Cd2FeBr crystal (GGA-PBE).

Results
energy relative to the lowest polymorph listed for this composition = 25 meV/atom
final energy = -11.3 eV/f.u.
energy relative to the elements, uncorrected = 0.62 eV/f.u.
space-group type = No. 44
N(E_F) = 0.5132 states/eV/atom
calculated volume = 23.61 Å³/atom

a = 6.9902 Å, b = 6.9902 Å, c = 6.9902 Å
α = 154.06°, β = 140.62°, γ = 47.76°
With the nearest neighbours (Å) after each atom.
Element x y z (fractional)
Cd1 0.6645 0.1645 0.5000  2 Fe 2.76, 2 Cd 3.00
Cd2 0.0190 0.0190 0.0000  4 Fe 2.86, 4 Cd 3.00-3.14
Br1 0.3301 0.8301 0.5000  2 Fe 2.54
Fe1 0.4864 0.4864 0.0000  2 Br 2.54, 2 Cd 2.76

***

Record 11
Entry from Alexandria via LeMat-Bulk: a relaxed CdFe3Br crystal (GGA-PBE).

Results
energy relative to the lowest polymorph listed for this composition = 501 meV/atom
final energy = -20.4 eV/f.u.
energy relative to the elements, uncorrected = 7.61 eV/f.u.
space-group type = No. 221
N(E_F) = 2.1433 states/eV/atom
calculated volume = 24.48 Å³/atom

a = 4.9651 Å, b = 4.9651 Å, c = 4.9651 Å
α = 90.00°, β = 90.00°, γ = 90.00°
With the nearest neighbours (Å) after each atom.
Element x y z (fractional)
Fe1 0.5000 0.0000 0.0000  2 Cd 2.48
Fe2 0.0000 0.0000 0.5000  2 Cd 2.48
Fe3 0.0000 0.5000 0.0000  2 Cd 2.48
Br1 0.5000 0.5000 0.5000  12 Fe 3.51
Cd1 0.0000 0.0000 0.0000  6 Fe 2.48

***

Record 12
Entry from Alexandria via LeMat-Bulk: a relaxed CdFe2Br crystal (GGA-PBE).

Results
energy relative to the lowest polymorph listed for this composition = 561 meV/atom
final energy = -16.3 eV/f.u.
energy relative to the elements, uncorrected = 3.22 eV/f.u.
space-group type = No. 139
N(E_F) = 1.4594 states/eV/atom
calculated volume = 18.17 Å³/atom

a = 5.3726 Å, b = 5.3726 Å, c = 5.3726 Å
α = 136.44°, β = 136.44°, γ = 63.29°
With the nearest neighbours (Å) after each atom.
Element x y z (fractional)
Br1 0.2500 0.7500 0.5000  4 Cd 2.82, 8 Fe 3.03
Fe1 0.0000 0.0000 0.0000  4 Fe 2.82, 4 Cd 3.03, 4 Br 3.03
Fe2 0.5000 0.5000 0.0000  4 Fe 2.82, 4 Br 3.03, 4 Cd 3.03
Cd1 0.7500 0.2500 0.5000  4 Br 2.82, 8 Fe 3.03

***

Record 13
Entry from Alexandria via LeMat-Bulk: a relaxed CdFe2Br crystal (GGA-PBE).

Results
energy relative to the lowest polymorph listed for this composition = 456 meV/atom
final energy = -16.7 eV/f.u.
energy relative to the elements, uncorrected = 2.80 eV/f.u.
space-group type = No. 123
N(E_F) = 0.8992 states/eV/atom
calculated volume = 17.33 Å³/atom

a = 3.1240 Å, b = 4.7109 Å, c = 4.7109 Å
α = 90.00°, β = 90.00°, γ = 90.00°
With the nearest neighbours (Å) after each atom.
Element x y z (fractional)
Cd1 0.5000 0.0000 0.5000  8 Fe 2.83, 2 Cd 3.12
Br1 0.5000 0.5000 0.0000  8 Fe 2.83, 2 Br 3.12
Fe1 0.0000 0.5000 0.5000  4 Cd 2.83, 4 Br 2.83, 2 Fe 3.12
Fe2 0.0000 0.0000 0.0000  4 Cd 2.83, 4 Br 2.83, 2 Fe 3.12

***

Record 14
Entry from Alexandria via LeMat-Bulk: a relaxed CdFe2Br crystal (GGA-PBE).

Results
energy relative to the lowest polymorph listed for this composition = 510 meV/atom
final energy = -16.5 eV/f.u.
energy relative to the elements, uncorrected = 3.02 eV/f.u.
space-group type = No. 119
N(E_F) = 1.2579 states/eV/atom
calculated volume = 17.55 Å³/atom

a = 5.3740 Å, b = 5.3740 Å, c = 5.3740 Å
α = 137.43°, β = 137.43°, γ = 61.77°
With the nearest neighbours (Å) after each atom.
Element x y z (fractional)
Cd1 0.7500 0.2500 0.5000  8 Fe 2.76-3.02, 4 Br 3.02
Fe1 0.0000 0.0000 0.0000  4 Br 2.76, 4 Fe 3.02, 4 Cd 3.02
Fe2 0.2500 0.7500 0.5000  4 Cd 2.76, 4 Fe 3.02, 4 Br 3.02
Br1 0.5000 0.5000 0.0000  8 Fe 2.76-3.02, 4 Cd 3.02